The following is a DFT calculation (PBE-GGA) of an optimized crystal structure of ReTeSe2N.

The structure in POSCAR format:
```
ReTeSe2N
1.0
5.1031 0.0000 0.0000
0.0000 5.1031 0.0000
0.0000 0.0000 3.7809
Re Te Se N
1 1 2 1
direct
0.0000 0.0000 0.0000
0.5000 0.5000 0.5000
0.0000 0.5000 0.0000
0.5000 0.0000 0.0000
0.0000 0.0000 0.5000
```

DOS(E_F), states/eV/cell: 3.5
SG: P4/mmm (123)
Spin magnetization, μB per atom: 0.0000
Excess energy over the best structure of this formula in the dataset, kJ/mol of formula units: 0
Mass density, Mg/m³: 8.192

The following is a DFT calculation (PBE-GGA) of an optimized crystal structure of ReTeSeN2.

The structure in POSCAR format:
```
ReTeSeN2
1.0
3.9211 0.0000 0.0000
0.0000 3.9211 0.0000
0.0000 0.0000 6.1166
Re Te Se N
1 1 1 2
direct
0.0000 0.0000 0.0000
0.5000 0.5000 0.5000
0.5000 0.5000 0.0000
0.0000 0.5000 0.5000
0.5000 0.0000 0.5000
```

DOS(E_F), states/eV/cell: 2.5
SG: P4/mmm (123)
Spin magnetization, μB per atom: 0.8675
Excess energy over the best structure of this formula in the dataset, kJ/mol of formula units: 731
Mass density, Mg/m³: 7.430

The following is a DFT calculation (PBE-GGA) of an optimized crystal structure of ReTeSeN2.

The structure in POSCAR format:
```
ReTeSeN2
1.0
3.9127 0.0000 0.0000
0.0000 3.9127 0.0000
0.0000 0.0000 5.6582
Re Te Se N
1 1 1 2
direct
0.0000 0.0000 0.0000
0.5000 0.5000 0.5000
0.0000 0.0000 0.5000
0.0000 0.5000 0.0000
0.5000 0.0000 0.0000
```

DOS(E_F), states/eV/cell: 4.3
SG: P4/mmm (123)
Spin magnetization, μB per atom: 0.0003
Excess energy over the best structure of this formula in the dataset, kJ/mol of formula units: 56
Mass density, Mg/m³: 8.066

The following is a DFT calculation (PBE-GGA) of an optimized crystal structure of ReTeSe2N.

The structure in POSCAR format:
```
ReTeSe2N
1.0
5.3889 0.0000 0.0000
0.0000 5.3889 0.0000
0.0000 0.0000 3.8965
Re Te Se N
1 1 2 1
direct
0.0000 0.0000 0.0000
0.5000 0.5000 0.5000
0.0000 0.5000 0.5000
0.5000 0.0000 0.5000
0.5000 0.5000 0.0000
```

DOS(E_F), states/eV/cell: 3.2
SG: P4/mmm (123)
Spin magnetization, μB per atom: 0.8340
Excess energy over the best structure of this formula in the dataset, kJ/mol of formula units: 694
Mass density, Mg/m³: 7.128

The following is a DFT calculation (PBE-GGA) of an optimized crystal structure of ReTeSeN2.

The structure in POSCAR format:
```
ReTeSeN2
1.0
3.8796 0.0000 0.0000
0.0000 3.8796 0.0000
0.0000 0.0000 5.9655
Re Te Se N
1 1 1 2
direct
0.0000 0.0000 0.0000
0.0000 0.0000 0.5000
0.5000 0.5000 0.5000
0.0000 0.5000 0.0000
0.5000 0.0000 0.0000
```

DOS(E_F), states/eV/cell: 1.9
SG: P4/mmm (123)
Spin magnetization, μB per atom: 0.0000
Excess energy over the best structure of this formula in the dataset, kJ/mol of formula units: 0
Mass density, Mg/m³: 7.782

The following is a DFT calculation (PBE-GGA) of an optimized crystal structure of Ti2ReSeN.

The structure in POSCAR format:
```
Ti2ReSeN
1.0
4.1809 0.0000 0.0000
0.0000 4.1809 0.0000
0.0000 0.0000 4.0232
Ti Re Se N
2 1 1 1
direct
0.0000 0.5000 0.0000
0.5000 0.0000 0.0000
0.0000 0.0000 0.5000
0.5000 0.5000 0.5000
0.0000 0.0000 0.0000
```

DOS(E_F), states/eV/cell: 5.0
Calculated total energy, eV/f.u.: -41.99
SG: P4/mmm (123)
Spin magnetization, μB per atom: 0.0000
Mass density, Mg/m³: 8.853

The following is a DFT calculation (PBE-GGA) of an optimized crystal structure of TlReSe2N.

The structure in POSCAR format:
```
TlReSe2N
1.0
5.4652 0.0000 0.0000
0.0000 5.4652 0.0000
0.0000 0.0000 4.1552
Tl Re Se N
1 1 2 1
direct
0.0000 0.0000 0.0000
0.5000 0.5000 0.5000
0.0000 0.5000 0.0000
0.5000 0.0000 0.0000
0.0000 0.0000 0.5000
```

DOS(E_F), states/eV/cell: 3.1
SG: P4/mmm (123)
Spin magnetization, μB per atom: 0.5690
Excess energy over the best structure of this formula in the dataset, kJ/mol of formula units: 932
Mass density, Mg/m³: 7.526

The following is a DFT calculation (PBE-GGA) of an optimized crystal structure of TlReSe2N.

The structure in POSCAR format:
```
TlReSe2N
1.0
5.2160 0.0000 0.0000
0.0000 5.2160 0.0000
0.0000 0.0000 3.7782
Tl Re Se N
1 1 2 1
direct
0.0000 0.0000 0.0000
0.5000 0.5000 0.5000
0.0000 0.5000 0.5000
0.5000 0.0000 0.5000
0.5000 0.5000 0.0000
```

DOS(E_F), states/eV/cell: 2.6
SG: P4/mmm (123)
Spin magnetization, μB per atom: 0.0827
Excess energy over the best structure of this formula in the dataset, kJ/mol of formula units: 0
Mass density, Mg/m³: 9.087

The following is a DFT calculation (PBE-GGA) of an optimized crystal structure of TlReSeN2.

The structure in POSCAR format:
```
TlReSeN2
1.0
4.1376 0.0000 0.0000
0.0000 4.1376 0.0000
0.0000 0.0000 6.2625
Tl Re Se N
1 1 1 2
direct
0.0000 0.0000 0.0000
0.5000 0.5000 0.5000
0.0000 0.0000 0.5000
0.0000 0.5000 0.0000
0.5000 0.0000 0.0000
```

DOS(E_F), states/eV/cell: 3.5
SG: P4/mmm (123)
Spin magnetization, μB per atom: 0.4512
Excess energy over the best structure of this formula in the dataset, kJ/mol of formula units: 1040
Mass density, Mg/m³: 7.706

The following is a DFT calculation (PBE-GGA) of an optimized crystal structure of TlReSeN2.

The structure in POSCAR format:
```
TlReSeN2
1.0
3.9436 0.0000 0.0000
0.0000 3.9436 0.0000
0.0000 0.0000 5.4618
Tl Re Se N
1 1 1 2
direct
0.0000 0.0000 0.0000
0.5000 0.5000 0.5000
0.5000 0.5000 0.0000
0.0000 0.5000 0.5000
0.5000 0.0000 0.5000
```

DOS(E_F), states/eV/cell: 3.1
SG: P4/mmm (123)
Spin magnetization, μB per atom: 0.0002
Excess energy over the best structure of this formula in the dataset, kJ/mol of formula units: 0
Mass density, Mg/m³: 9.727

The following is a DFT calculation (PBE-GGA) of an optimized crystal structure of ReWSeN2.

The structure in POSCAR format:
```
ReWSeN2
1.0
3.8957 0.0000 0.0000
0.0000 3.8957 0.0000
0.0000 0.0000 5.4076
Re W Se N
1 1 1 2
direct
0.0000 0.0000 0.0000
0.5000 0.5000 0.5000
0.5000 0.5000 0.0000
0.0000 0.5000 0.5000
0.5000 0.0000 0.5000
```

DOS(E_F), states/eV/cell: 3.5
SG: P4/mmm (123)
Spin magnetization, μB per atom: 0.8344
Excess energy over the best structure of this formula in the dataset, kJ/mol of formula units: 0
Mass density, Mg/m³: 9.652

The following is a DFT calculation (PBE-GGA) of an optimized crystal structure of ReWSeN2.

The structure in POSCAR format:
```
ReWSeN2
1.0
3.8400 0.0000 0.0000
0.0000 3.8400 0.0000
0.0000 0.0000 5.4209
Re W Se N
1 1 1 2
direct
0.0000 0.0000 0.0000
0.5000 0.5000 0.5000
0.0000 0.0000 0.5000
0.0000 0.5000 0.0000
0.5000 0.0000 0.0000
```

DOS(E_F), states/eV/cell: 2.6
SG: P4/mmm (123)
Spin magnetization, μB per atom: 0.6478
Excess energy over the best structure of this formula in the dataset, kJ/mol of formula units: 15
Mass density, Mg/m³: 9.909